First-principles (PBE-GGA) data for a geometry-optimized Co2CuHRu structure, as listed in the Alexandria database.

a = 3.718 Å, b = 3.718 Å, c = 3.658 Å
α = 90.00°, β = 90.00°, γ = 90.00°
Each line ends with the local moment (μB).
Sites, in units of the cell vectors:
Co (0.500, 0.000, 0.000)  1.47
Co (0.000, 0.500, 0.000)  1.47
Cu (0.000, 0.000, 0.500)  0.16
H (0.000, 0.000, 0.000)  -0.01
Ru (0.500, 0.500, 0.500)  1.38

density of states at the Fermi level = 5.898 states/eV/cell
E = -5.918 eV per atom
magnetization = 4.43 μB per cell
space-group type = P4/mmm (123)

***

First-principles (PBE-GGA) data for a geometry-optimized Pm3Nd5Hg2 structure, as listed in the Alexandria database.

a = 6.878 Å, b = 10.583 Å, c = 10.583 Å
α = 86.55°, β = 71.04°, γ = 71.04°
Sites, in units of the cell vectors:
Nd (0.750, 0.500, 0.500)
Nd (0.250, 0.500, 0.500)
Nd (0.087, 0.592, 0.235)
Nd (0.913, 0.408, 0.765)
Nd (0.986, 0.264, 0.264)
Nd (0.486, 0.264, 0.264)
Nd (0.413, 0.765, 0.408)
Nd (0.514, 0.736, 0.736)
Nd (0.587, 0.235, 0.592)
Nd (0.014, 0.736, 0.736)
Hg (0.367, 0.006, 0.261)
Hg (0.633, 0.994, 0.739)
Hg (0.867, 0.261, 0.006)
Hg (0.133, 0.739, 0.994)
Pm (0.849, 0.926, 0.377)
Pm (0.151, 0.074, 0.623)
Pm (0.349, 0.377, 0.926)
Pm (0.750, 0.000, 0.000)
Pm (0.250, 0.000, 0.000)
Pm (0.651, 0.623, 0.074)

density of states at the Fermi level = 23.495 states/eV/cell
E = -3.824 eV per atom
magnetization = 0.00 μB per cell
formation energy from the elements = 0.05 eV per atom
space-group type = Ibam (72)

***

First-principles (PBE-GGA) data for a geometry-optimized Fe2HgSb2 structure, as listed in the Alexandria database.

a = 4.243 Å, b = 4.243 Å, c = 6.126 Å
α = 69.74°, β = 69.74°, γ = 90.00°
Sites, in units of the cell vectors:
Hg (0.000, 0.000, 0.000)
Sb (0.750, 0.250, 0.500)
Sb (0.250, 0.750, 0.500)
Fe (0.391, 0.391, 0.218)
Fe (0.609, 0.609, 0.782)

density of states at the Fermi level = 2.902 states/eV/cell
E = -4.555 eV per atom
magnetization = 0.00 μB per cell
space-group type = I4/mmm (139)

***

First-principles (PBE-GGA) data for a geometry-optimized RbSi4 structure, as listed in the Alexandria database.

a = 5.437 Å, b = 5.437 Å, c = 5.437 Å
α = 90.00°, β = 90.00°, γ = 90.00°
Sites, in units of the cell vectors:
Si (0.000, 0.000, 0.000)
Si (0.500, 0.500, 0.000)
Si (0.500, 0.000, 0.500)
Si (0.000, 0.500, 0.500)
Rb (0.500, 0.500, 0.500)

density of states at the Fermi level = 5.391 states/eV/cell
E = -2.013 eV per atom
magnetization = 0.00 μB per cell
space-group type = Pm-3m (221)

***

First-principles (PBE-GGA) data for a geometry-optimized MnNbCoHSe structure, as listed in the Alexandria database.

a = 3.449 Å, b = 3.167 Å, c = 11.315 Å
α = 90.00°, β = 90.00°, γ = 90.00°
Each line ends with the local moment (μB).
Sites, in units of the cell vectors:
Mn (0.000, 0.000, 0.759)  2.22
Mn (0.000, 0.500, 0.259)  2.22
Co (0.500, 0.500, 0.620)  -0.23
Co (0.500, 0.000, 0.120)  -0.23
Nb (0.500, 0.500, 0.882)  -0.33
Nb (0.500, 0.000, 0.382)  -0.33
Se (0.000, 0.500, 0.056)  -0.02
Se (0.000, 0.000, 0.556)  -0.02
H (0.500, 0.000, 0.779)  -0.01
H (0.500, 0.500, 0.279)  -0.01

density of states at the Fermi level = 7.519 states/eV/cell
E = -6.651 eV per atom
magnetization = 3.34 μB per cell
space-group type = Amm2 (38)

***

First-principles (PBE-GGA) data for a geometry-optimized V12Ge5H2 structure, as listed in the Alexandria database.

a = 6.459 Å, b = 7.099 Å, c = 6.806 Å
α = 104.14°, β = 90.00°, γ = 117.06°
Sites, in units of the cell vectors:
V (0.504, 0.009, 0.256)
V (0.148, 0.738, 0.444)
V (0.496, 0.991, 0.744)
V (0.624, 0.738, 0.930)
V (0.002, 0.004, 0.836)
V (0.998, 0.996, 0.164)
V (0.114, 0.738, 0.930)
V (0.852, 0.262, 0.556)
V (0.410, 0.262, 0.556)
V (0.886, 0.262, 0.070)
V (0.376, 0.262, 0.070)
V (0.590, 0.738, 0.444)
Ge (0.000, 0.000, 0.500)
Ge (0.277, 0.554, 0.654)
Ge (0.711, 0.421, 0.867)
Ge (0.723, 0.446, 0.346)
Ge (0.289, 0.579, 0.133)
H (0.361, 0.000, 0.000)
H (0.639, 0.000, 0.000)

density of states at the Fermi level = 18.039 states/eV/cell
E = -7.243 eV per atom
magnetization = 0.00 μB per cell
space-group type = C2/m (12)

***

First-principles (PBE-GGA) data for a geometry-optimized CsGeAs3 structure, as listed in the Alexandria database.

a = 5.689 Å, b = 5.689 Å, c = 5.689 Å
α = 90.00°, β = 90.00°, γ = 90.00°
Sites, in units of the cell vectors:
As (0.500, 0.000, 0.000)
As (0.000, 0.500, 0.000)
As (0.000, 0.000, 0.500)
Cs (0.000, 0.000, 0.000)
Ge (0.500, 0.500, 0.500)

density of states at the Fermi level = 5.329 states/eV/cell
E = -2.052 eV per atom
magnetization = 0.00 μB per cell
formation energy from the elements = 1.83 eV per atom
space-group type = Pm-3m (221)

***

First-principles (PBE-GGA) data for a geometry-optimized BaCa3Tl2 structure, as listed in the Alexandria database.

a = 5.117 Å, b = 10.294 Å, c = 10.445 Å
α = 120.36°, β = 90.00°, γ = 104.39°
Sites, in units of the cell vectors:
Tl (0.189, 0.377, 0.687)
Tl (0.500, 0.000, 0.147)
Tl (0.811, 0.623, 0.313)
Tl (0.500, 0.000, 0.853)
Ca (0.000, 0.999, 0.665)
Ca (0.334, 0.668, 0.143)
Ca (0.666, 0.332, 0.857)
Ca (0.333, 0.667, 0.527)
Ca (0.667, 0.333, 0.473)
Ca (0.000, 0.001, 0.335)
Ba (0.871, 0.742, 0.872)
Ba (0.129, 0.258, 0.128)

density of states at the Fermi level = 11.158 states/eV/cell
E = -2.386 eV per atom
magnetization = 0.00 μB per cell
formation energy from the elements = -0.28 eV per atom
space-group type = C2/m (12)

***

First-principles (PBE-GGA) data for a geometry-optimized USe3 structure, as listed in the Alexandria database.

a = 3.785 Å, b = 5.831 Å, c = 5.697 Å
α = 120.78°, β = 109.40°, γ = 90.00°
Each line ends with the local moment (μB).
Sites, in units of the cell vectors:
U (0.000, 0.065, 0.000)  0.30
Se (0.686, 0.040, 0.373)  -0.03
Se (0.314, 0.668, 0.627)  -0.03
Se (0.500, 0.394, 0.000)  -0.03

density of states at the Fermi level = 2.727 states/eV/cell
E = -6.168 eV per atom
magnetization = 0.18 μB per cell
space-group type = Imm2 (44)

***

First-principles (PBE-GGA) data for a geometry-optimized PmCoSi3Rh structure, as listed in the Alexandria database.

a = 5.726 Å, b = 6.166 Å, c = 6.895 Å
α = 116.56°, β = 90.00°, γ = 90.00°
Sites, in units of the cell vectors:
Si (0.500, 0.799, 0.000)
Si (0.000, 0.799, 0.000)
Si (0.500, 0.201, 0.000)
Si (0.250, 0.269, 0.538)
Si (0.000, 0.201, 0.000)
Si (0.750, 0.731, 0.462)
Rh (0.750, 0.551, 0.102)
Rh (0.250, 0.449, 0.898)
Pm (0.750, 0.277, 0.554)
Pm (0.250, 0.723, 0.446)
Co (0.750, 0.900, 0.800)
Co (0.250, 0.100, 0.200)

density of states at the Fermi level = 5.659 states/eV/cell
E = -6.447 eV per atom
magnetization = 0.00 μB per cell
space-group type = Cmcm (63)

***

First-principles (PBE-GGA) data for a geometry-optimized RuSeI2 structure, as listed in the Alexandria database.

a = 5.049 Å, b = 5.049 Å, c = 5.049 Å
α = 60.00°, β = 60.00°, γ = 60.00°
Sites, in units of the cell vectors:
I (0.250, 0.250, 0.250)
I (0.750, 0.750, 0.750)
Ru (0.500, 0.500, 0.500)
Se (0.000, 0.000, 0.000)

density of states at the Fermi level = 5.754 states/eV/cell
E = -2.912 eV per atom
magnetization = 0.00 μB per cell
space-group type = Fm-3m (225)

***

First-principles (PBE-GGA) data for a geometry-optimized Tb2PmTmSe5 structure, as listed in the Alexandria database.

a = 5.081 Å, b = 5.081 Å, c = 10.894 Å
α = 90.00°, β = 90.00°, γ = 90.00°
Sites, in units of the cell vectors:
Se (0.000, 0.000, 0.252)
Se (0.500, 0.000, 0.500)
Se (0.500, 0.500, 0.000)
Se (0.000, 0.000, 0.748)
Se (0.000, 0.500, 0.500)
Tb (0.500, 0.500, 0.341)
Tb (0.500, 0.500, 0.659)
Tm (0.000, 0.000, 0.500)
Pm (0.000, 0.000, 0.000)

density of states at the Fermi level = 5.068 states/eV/cell
E = -5.174 eV per atom
magnetization = 0.00 μB per cell
space-group type = P4/mmm (123)